The following is a DFT calculation (GGA+U) of crystalline NaVHF6 at its relaxed geometry.

Cell: 4.846 5.047 5.172 Å, 89.93 66.38 87.48°
Element x y z (fractional)
Na  0.000  0.000  0.000
V  0.340  0.511  0.368
H  0.807  0.276  0.545
F  0.049  0.740  0.344
F  0.323  0.674  0.685
F  0.340  0.264  0.110
F  0.640  0.692  0.106
F  0.648  0.249  0.427
F  0.984  0.289  0.638

* crystal system: triclinic
* Fermi-level density of states: 0.0 states/eV/f.u.
* electronic total energy: -5.098 eV/atom